# 1
Material: LaSmCd2In2
Method: DFT, PBE
State: relaxed

## Properties
Size of the total moment (μB/f.u.): 0.000
Calculated formation energy (eV/atom): -0.45
Calculated total energy (eV/atom): -3.28

Cell and atoms, written as CIF:
```
data_LaSmCd2In2
_chemical_formula_sum 'La1 Sm1 Cd2 In2'
_cell_length_a 4.9693
_cell_length_b 4.9693
_cell_length_c 7.6437
_cell_angle_alpha 90.00
_cell_angle_beta 90.00
_cell_angle_gamma 120.00
_symmetry_space_group_name_H-M 'P 1'
_symmetry_Int_Tables_number 1
loop_
_symmetry_equiv_pos_as_xyz
'x,y,z'
loop_
_atom_site_label
_atom_site_type_symbol
_atom_site_fract_x
_atom_site_fract_y
_atom_site_fract_z
La1 La 0.0000 0.0000 0.0000
Sm1 Sm 0.0000 0.0000 0.5000
Cd1 Cd 0.3333 0.6667 0.2777
Cd2 Cd 0.6667 0.3333 0.7223
In1 In 0.3333 0.6667 0.7420
In2 In 0.6667 0.3333 0.2580
```

# 2
Material: LaCd2InSn
Method: DFT, PBE
State: relaxed

## Properties
Size of the total moment (μB/f.u.): 0.000
Calculated formation energy (eV/atom): -0.32
Calculated total energy (eV/atom): -3.02

Cell and atoms, written as CIF:
```
data_LaCd2InSn
_chemical_formula_sum 'La2 Cd4 In2 Sn2'
_cell_length_a 6.1017
_cell_length_b 6.1017
_cell_length_c 10.2351
_cell_angle_alpha 90.00
_cell_angle_beta 90.00
_cell_angle_gamma 135.12
_symmetry_space_group_name_H-M 'P 1'
_symmetry_Int_Tables_number 1
loop_
_symmetry_equiv_pos_as_xyz
'x,y,z'
loop_
_atom_site_label
_atom_site_type_symbol
_atom_site_fract_x
_atom_site_fract_y
_atom_site_fract_z
La1 La 0.0652 0.9348 0.7500
La2 La 0.9348 0.0652 0.2500
Cd1 Cd 0.2262 0.7738 0.0831
Cd2 Cd 0.2262 0.7738 0.4169
Cd3 Cd 0.7738 0.2262 0.5831
Cd4 Cd 0.7738 0.2262 0.9169
In1 In 0.5000 0.5000 0.0000
In2 In 0.5000 0.5000 0.5000
Sn1 Sn 0.3517 0.6483 0.7500
Sn2 Sn 0.6483 0.3517 0.2500
```

# 3
Material: SrLa2Cd2In2
Method: DFT, PBE
State: relaxed

## Properties
Size of the total moment (μB/f.u.): 0.000
Calculated formation energy (eV/atom): -0.34
Calculated total energy (eV/atom): -3.03

Cell and atoms, written as CIF:
```
data_SrLa2Cd2In2
_chemical_formula_sum 'Sr1 La2 Cd2 In2'
_cell_length_a 10.3986
_cell_length_b 10.3986
_cell_length_c 10.3986
_cell_angle_alpha 28.06
_cell_angle_beta 28.06
_cell_angle_gamma 28.06
_symmetry_space_group_name_H-M 'P 1'
_symmetry_Int_Tables_number 1
loop_
_symmetry_equiv_pos_as_xyz
'x,y,z'
loop_
_atom_site_label
_atom_site_type_symbol
_atom_site_fract_x
_atom_site_fract_y
_atom_site_fract_z
Sr1 Sr 0.0000 0.0000 0.0000
La1 La 0.1308 0.1308 0.1308
La2 La 0.8692 0.8692 0.8692
Cd1 Cd 0.4081 0.4081 0.4081
Cd2 Cd 0.5919 0.5919 0.5919
In1 In 0.2551 0.2551 0.2551
In2 In 0.7449 0.7449 0.7449
```

# 4
Material: Sr2LaCd2In2
Method: DFT, PBE
State: relaxed

## Properties
Size of the total moment (μB/f.u.): 0.004
Calculated formation energy (eV/atom): -0.36
Calculated total energy (eV/atom): -2.59

Cell and atoms, written as CIF:
```
data_Sr2LaCd2In2
_chemical_formula_sum 'Sr2 La1 Cd2 In2'
_cell_length_a 11.4556
_cell_length_b 11.4556
_cell_length_c 11.4556
_cell_angle_alpha 25.35
_cell_angle_beta 25.35
_cell_angle_gamma 25.35
_symmetry_space_group_name_H-M 'P 1'
_symmetry_Int_Tables_number 1
loop_
_symmetry_equiv_pos_as_xyz
'x,y,z'
loop_
_atom_site_label
_atom_site_type_symbol
_atom_site_fract_x
_atom_site_fract_y
_atom_site_fract_z
Sr1 Sr 0.1186 0.1186 0.1186
Sr2 Sr 0.8814 0.8814 0.8814
La1 La 0.0000 0.0000 0.0000
Cd1 Cd 0.3856 0.3856 0.3856
Cd2 Cd 0.6144 0.6144 0.6144
In1 In 0.2761 0.2761 0.2761
In2 In 0.7239 0.7239 0.7239
```

# 5
Material: LaTaCd2In
Method: DFT, PBE
State: relaxed

## Properties
Size of the total moment (μB/f.u.): 2.976
Calculated formation energy (eV/atom): 1.15
Calculated total energy (eV/atom): -3.12

Cell and atoms, written as CIF:
```
data_LaTaCd2In
_chemical_formula_sum 'La1 Ta1 Cd2 In1'
_cell_length_a 5.1829
_cell_length_b 5.1829
_cell_length_c 6.0229
_cell_angle_alpha 90.00
_cell_angle_beta 90.00
_cell_angle_gamma 90.00
_symmetry_space_group_name_H-M 'P 1'
_symmetry_Int_Tables_number 1
loop_
_symmetry_equiv_pos_as_xyz
'x,y,z'
loop_
_atom_site_label
_atom_site_type_symbol
_atom_site_fract_x
_atom_site_fract_y
_atom_site_fract_z
La1 La 0.0000 0.0000 0.0000
Ta1 Ta 0.5000 0.5000 0.0000
Cd1 Cd 0.0000 0.5000 0.5000
Cd2 Cd 0.5000 0.0000 0.5000
In1 In 0.0000 0.0000 0.5000
```

# 6
Material: La2TbCd2In2
Method: DFT, PBE
State: relaxed

## Properties
Size of the total moment (μB/f.u.): 0.001
Calculated formation energy (eV/atom): -0.31
Calculated total energy (eV/atom): -3.42

Cell and atoms, written as CIF:
```
data_La2TbCd2In2
_chemical_formula_sum 'La2 Tb1 Cd2 In2'
_cell_length_a 9.7246
_cell_length_b 9.7246
_cell_length_c 9.7246
_cell_angle_alpha 29.67
_cell_angle_beta 29.67
_cell_angle_gamma 29.67
_symmetry_space_group_name_H-M 'P 1'
_symmetry_Int_Tables_number 1
loop_
_symmetry_equiv_pos_as_xyz
'x,y,z'
loop_
_atom_site_label
_atom_site_type_symbol
_atom_site_fract_x
_atom_site_fract_y
_atom_site_fract_z
La1 La 0.1291 0.1291 0.1291
La2 La 0.8709 0.8709 0.8709
Tb1 Tb 0.0000 0.0000 0.0000
Cd1 Cd 0.3919 0.3919 0.3919
Cd2 Cd 0.6081 0.6081 0.6081
In1 In 0.2655 0.2655 0.2655
In2 In 0.7345 0.7345 0.7345
```

# 7
Material: LaTb2Cd2In2
Method: DFT, PBE
State: relaxed

## Properties
Size of the total moment (μB/f.u.): 0.000
Calculated formation energy (eV/atom): -0.30
Calculated total energy (eV/atom): -3.37

Cell and atoms, written as CIF:
```
data_LaTb2Cd2In2
_chemical_formula_sum 'La1 Tb2 Cd2 In2'
_cell_length_a 9.5200
_cell_length_b 9.5200
_cell_length_c 9.5200
_cell_angle_alpha 30.43
_cell_angle_beta 30.43
_cell_angle_gamma 30.43
_symmetry_space_group_name_H-M 'P 1'
_symmetry_Int_Tables_number 1
loop_
_symmetry_equiv_pos_as_xyz
'x,y,z'
loop_
_atom_site_label
_atom_site_type_symbol
_atom_site_fract_x
_atom_site_fract_y
_atom_site_fract_z
La1 La 0.0000 0.0000 0.0000
Tb1 Tb 0.1314 0.1314 0.1314
Tb2 Tb 0.8686 0.8686 0.8686
Cd1 Cd 0.4173 0.4173 0.4173
Cd2 Cd 0.5827 0.5827 0.5827
In1 In 0.2610 0.2610 0.2610
In2 In 0.7390 0.7390 0.7390
```

# 8
Material: LaTbCd2In2
Method: DFT, PBE
State: relaxed

## Properties
Size of the total moment (μB/f.u.): 0.000
Calculated formation energy (eV/atom): -0.44
Calculated total energy (eV/atom): -3.25

Cell and atoms, written as CIF:
```
data_LaTbCd2In2
_chemical_formula_sum 'La1 Tb1 Cd2 In2'
_cell_length_a 4.9494
_cell_length_b 4.9494
_cell_length_c 7.5833
_cell_angle_alpha 90.00
_cell_angle_beta 90.00
_cell_angle_gamma 120.00
_symmetry_space_group_name_H-M 'P 1'
_symmetry_Int_Tables_number 1
loop_
_symmetry_equiv_pos_as_xyz
'x,y,z'
loop_
_atom_site_label
_atom_site_type_symbol
_atom_site_fract_x
_atom_site_fract_y
_atom_site_fract_z
La1 La 0.0000 0.0000 0.0000
Tb1 Tb 0.0000 0.0000 0.5000
Cd1 Cd 0.3333 0.6667 0.2839
Cd2 Cd 0.6667 0.3333 0.7161
In1 In 0.3333 0.6667 0.7401
In2 In 0.6667 0.3333 0.2599
```